The following is a DFT calculation (PBE) of an optimized crystal structure of Y3Ge3Au.

Computed properties:
- energy of formation from the pure elements (meV/atom) = -848
- total magnetic moment (μB per cell) = 0.000
- D(E_F) (states/eV/f.u.) = 3.13

a = 5.8165 Å, b = 5.8165 Å, c = 14.0220 Å
α = 108.36°, β = 108.36°, γ = 43.94°
With the nearest neighbours (Å) after each atom.
Fractional positions:
Y1 0.0269 0.0269 0.3764  6 Ge 3.02-3.15, 3 Au 3.11-3.18
Y2 0.1041 0.1041 0.9251  7 Ge 2.98-3.25
Y3 0.2380 0.2380 0.2225  6 Ge 2.98-3.23, 2 Au 3.19
Y4 0.7620 0.7620 0.7775  6 Ge 2.98-3.23, 2 Au 3.19
Y5 0.8959 0.8959 0.0749  7 Ge 2.98-3.25
Y6 0.9731 0.9731 0.6236  6 Ge 3.02-3.15, 3 Au 3.11-3.18
Ge1 0.3726 0.3726 0.4545  3 Au 2.61-2.84, 1 Ge 2.61
Ge2 0.3803 0.3803 0.9252  2 Ge 2.69-2.72, 5 Y 2.98-2.99
Ge3 0.4816 0.4816 0.7748  1 Au 2.68, 1 Ge 2.69
Ge4 0.5184 0.5184 0.2252  1 Au 2.68, 1 Ge 2.69
Ge5 0.6197 0.6197 0.0748  2 Ge 2.69-2.72, 5 Y 2.98-2.99
Ge6 0.6274 0.6274 0.5455  3 Au 2.61-2.84, 1 Ge 2.61
Au1 0.2621 0.2621 0.6114  4 Ge 2.61-2.84
Au2 0.7379 0.7379 0.3886  4 Ge 2.61-2.84